A) VASP calculation (PBE) on crystalline BaPaGa2 at its relaxed geometry.

The structure in CIF format:
```
data_BaPaGa2
_chemical_formula_sum 'Ba1 Pa1 Ga2'
_cell_length_a 3.419
_cell_length_b 3.419
_cell_length_c 8.970
_cell_angle_alpha 90.00
_cell_angle_beta 90.00
_cell_angle_gamma 90.00
_symmetry_space_group_name_H-M 'P 4/m m m'
_symmetry_Int_Tables_number 123
_symmetry_space_group_name_Hall '-P 4 2'
loop_
_atom_site_label
_atom_site_type_symbol
_atom_site_fract_x
_atom_site_fract_y
_atom_site_fract_z
Ba1 Ba 0.000 0.000 0.000
Pa1 Pa 0.000 0.000 0.500
Ga1 Ga 0.500 0.500 0.282
```

Values from the calculation:
DOS(E_F) (states/eV/cell): 5.528
Total magnetization (μB per formula unit): 0.0



B) VASP calculation (PBE) on crystalline BaPaGa2 at its relaxed geometry.

The structure in CIF format:
```
data_BaPaGa2
_chemical_formula_sum 'Ba3 Pa3 Ga6'
_cell_length_a 3.2825
_cell_length_b 3.2825
_cell_length_c 35.0450
_cell_angle_alpha 90.00
_cell_angle_beta 90.00
_cell_angle_gamma 120.00
_symmetry_space_group_name_H-M 'R -3 m'
_symmetry_Int_Tables_number 166
_symmetry_space_group_name_Hall '-R 3 2"'
loop_
_atom_site_label
_atom_site_type_symbol
_atom_site_fract_x
_atom_site_fract_y
_atom_site_fract_z
Ba1 Ba 0.0000 0.0000 0.0000
Pa1 Pa 0.0000 0.0000 0.5000
Ga1 Ga 0.0000 0.0000 0.0938
```

Values from the calculation:
DOS(E_F) (states/eV/cell): 15.324
Total magnetization (μB per formula unit): 0.0



Decreasing stability: A), B)



A) VASP calculation (PBE) on crystalline Ba2GaPb3 at its relaxed geometry.

The structure in CIF format:
```
data_Ba2GaPb3
_chemical_formula_sum 'Ba16 Ga8 Pb24'
_cell_length_a 9.997
_cell_length_b 10.448
_cell_length_c 17.214
_cell_angle_alpha 90.00
_cell_angle_beta 90.00
_cell_angle_gamma 90.00
_symmetry_space_group_name_H-M 'F m m m'
_symmetry_Int_Tables_number 69
_symmetry_space_group_name_Hall '-F 2 2'
loop_
_atom_site_label
_atom_site_type_symbol
_atom_site_fract_x
_atom_site_fract_y
_atom_site_fract_z
Ba1 Ba 0.240 0.000 0.000
Ba2 Ba 0.250 0.250 0.250
Ga1 Ga 0.000 0.000 0.335
Pb1 Pb 0.000 0.000 0.173
Pb2 Pb 0.000 0.233 0.411
```

Values from the calculation:
DOS(E_F) (states/eV/cell): 31.493
Total magnetization (μB per formula unit): 0.0



B) VASP calculation (PBE) on crystalline Ba2GaPb3 at its relaxed geometry.

The structure in CIF format:
```
data_Ba2GaPb3
_chemical_formula_sum 'Ba4 Ga2 Pb6'
_cell_length_a 12.974
_cell_length_b 5.034
_cell_length_c 8.255
_cell_angle_alpha 90.00
_cell_angle_beta 128.89
_cell_angle_gamma 90.00
_symmetry_space_group_name_H-M 'C 1 m 1'
_symmetry_Int_Tables_number 8
loop_
_symmetry_equiv_pos_as_xyz
'x,y,z'
'x,-y,z'
'x+1/2,y+1/2,z'
'x+1/2,-y+1/2,z'
loop_
_atom_site_label
_atom_site_type_symbol
_atom_site_fract_x
_atom_site_fract_y
_atom_site_fract_z
Ba1 Ba 0.000 0.000 0.000
Ba2 Ba 0.122 0.000 0.623
Ga1 Ga 0.401 0.000 0.596
Pb1 Pb 0.210 0.500 0.008
Pb2 Pb 0.236 0.500 0.424
Pb3 Pb 0.405 0.000 0.233
```

Values from the calculation:
DOS(E_F) (states/eV/cell): 6.435
Total magnetization (μB per formula unit): 0.0



Decreasing stability: B), A)